(1)
Material: KRb2CdO
Method: DFT, PBE
State: optimized geometry

## Properties
The density of states at the Fermi level is 3.25 states/eV per cell. Its crystal system is tetragonal. The value obtained for the uncorrected formation energy is -502 meV/atom. The calculation puts the mass density at 3.21 g/cm³.

a b c (Å): 5.707 5.707 5.368
angles (deg): 90.00 90.00 90.00
Positions (direct):
K (0.000, 0.000, 0.000)
Rb (0.000, 0.500, 0.500)
Rb (0.500, 0.000, 0.500)
Cd (0.500, 0.500, 0.000)
O (0.000, 0.000, 0.500)

***

(2)
Material: Ho3TmRh
Method: DFT, PBE
State: optimized geometry

## Properties
The density of states at the Fermi level is 11.94 states/eV per cell. Its crystal system is orthorhombic. The calculation puts the mass density at 8.63 g/cm³. The total energy is -5.411 eV per atom.

a b c (Å): 7.508 6.468 6.075
angles (deg): 90.00 90.00 90.00
Positions (direct):
Ho (0.000, 0.151, 0.000)
Ho (0.250, 0.311, 0.506)
Ho (0.250, 0.689, 0.006)
Ho (0.500, 0.849, 0.500)
Ho (0.750, 0.311, 0.506)
Ho (0.750, 0.689, 0.006)
Tm (0.000, 0.848, 0.513)
Tm (0.500, 0.152, 0.013)
Rh (0.000, 0.502, 0.257)
Rh (0.500, 0.498, 0.757)

***

(3)
Material: NaCdAu
Method: DFT, PBE
State: optimized geometry

## Properties
The density of states at the Fermi level is 0.71 states/eV per cell. Its crystal system is tetragonal. The calculation puts the mass density at 8.50 g/cm³. The total energy is -2.033 eV per atom.

a b c (Å): 5.336 5.336 5.336
angles (deg): 138.92 138.92 59.49
Positions (direct):
Na (0.000, 0.000, 0.000)
Cd (0.680, 0.680, 0.000)
Au (0.333, 0.333, 0.000)

***

(4)
Material: Sr3TiCd
Method: DFT, PBE
State: optimized geometry

## Properties
The density of states at the Fermi level is 5.13 states/eV per cell. Its crystal system is cubic. The calculation puts the mass density at 2.95 g/cm³. The total energy is -2.168 eV per atom.

a b c (Å): 6.200 6.200 6.200
angles (deg): 90.00 90.00 90.00
Positions (direct):
Sr (0.000, 0.000, 0.500)
Sr (0.000, 0.500, 0.000)
Sr (0.500, 0.000, 0.000)
Ti (0.500, 0.500, 0.500)
Cd (0.000, 0.000, 0.000)

***

(5)
Material: Cr7Tc
Method: DFT, PBE
State: optimized geometry

## Properties
The density of states at the Fermi level is 14.12 states/eV per cell. Its crystal system is cubic. The calculation puts the mass density at 7.80 g/cm³. The total energy is -9.369 eV per atom.

a b c (Å): 5.181 5.181 5.181
angles (deg): 60.00 60.00 60.00
Positions (direct):
Cr (0.000, 0.000, 0.000)
Cr (0.000, 0.000, 0.500)
Cr (0.000, 0.500, 0.000)
Cr (0.000, 0.500, 0.500)
Cr (0.500, 0.000, 0.000)
Cr (0.500, 0.000, 0.500)
Cr (0.500, 0.500, 0.000)
Tc (0.500, 0.500, 0.500)

***

(6)
Material: AlGeBr3
Method: DFT, PBE
State: optimized geometry

## Properties
Its crystal system is cubic. The value obtained for the uncorrected formation energy is -267 meV/atom. The calculation puts the mass density at 3.43 g/cm³.

a b c (Å): 5.476 5.476 5.476
angles (deg): 90.00 90.00 90.00
Positions (direct):
Al (0.000, 0.000, 0.000)
Ge (0.500, 0.500, 0.500)
Br (0.000, 0.500, 0.500)
Br (0.500, 0.000, 0.500)
Br (0.500, 0.500, 0.000)

***

(7)
Material: Tb3Pm2Nd6Sc
Method: DFT, PBE
State: optimized geometry

## Properties
The density of states at the Fermi level is 15.39 states/eV per cell. Its crystal system is monoclinic. The calculation puts the mass density at 6.98 g/cm³. The total energy is -4.837 eV per atom.

a b c (Å): 6.270 6.270 11.910
angles (deg): 95.04 95.04 120.01
Positions (direct):
Tb (0.000, 0.000, 0.000)
Tb (0.334, 0.666, 0.000)
Tb (0.666, 0.334, 0.000)
Pm (0.167, 0.833, 0.500)
Pm (0.833, 0.167, 0.500)
Nd (0.088, 0.417, 0.251)
Nd (0.253, 0.253, 0.750)
Nd (0.417, 0.088, 0.251)
Nd (0.583, 0.912, 0.749)
Nd (0.747, 0.747, 0.250)
Nd (0.912, 0.583, 0.749)
Sc (0.500, 0.500, 0.500)

***

(8)
Material: Li3Ca2Ga2
Method: DFT, PBE
State: optimized geometry

## Properties
The density of states at the Fermi level is 4.01 states/eV per cell. Its crystal system is monoclinic. The calculation puts the mass density at 2.50 g/cm³. The total energy is -2.536 eV per atom.

a b c (Å): 5.871 5.871 7.151
angles (deg): 114.28 114.28 46.45
Positions (direct):
Li (0.000, 0.000, 0.000)
Li (0.146, 0.146, 0.439)
Li (0.854, 0.854, 0.561)
Ca (0.348, 0.348, 0.226)
Ca (0.652, 0.652, 0.774)
Ga (0.378, 0.378, 0.808)
Ga (0.622, 0.622, 0.192)

***

(9)
Material: Na2Bi2HRh2
Method: DFT, PBE
State: optimized geometry

## Properties
The density of states at the Fermi level is 2.08 states/eV per cell. Its crystal system is tetragonal. The calculation puts the mass density at 7.98 g/cm³. The total energy is -4.273 eV per atom.

a b c (Å): 8.387 8.387 8.387
angles (deg): 150.86 150.86 41.68
Positions (direct):
Na (0.167, 0.167, 0.000)
Na (0.833, 0.833, 0.000)
Bi (0.384, 0.384, 0.000)
Bi (0.616, 0.616, 0.000)
H (0.000, 0.000, 0.000)
Rh (0.000, 0.500, 0.500)
Rh (0.500, 0.000, 0.500)

***

(10)
Material: KCrBr3
Method: DFT, PBE
State: optimized geometry

## Properties
The density of states at the Fermi level is 14.48 states/eV per cell. Its crystal system is cubic. The value obtained for the uncorrected formation energy is 49 meV/atom. The calculation puts the mass density at 2.60 g/cm³.

a b c (Å): 5.955 5.955 5.955
angles (deg): 90.00 90.00 90.00
Positions (direct):
K (0.000, 0.000, 0.000)
Cr (0.500, 0.500, 0.500)
Br (0.000, 0.000, 0.500)
Br (0.000, 0.500, 0.000)
Br (0.500, 0.000, 0.000)